[1]
The following is a DFT calculation (PBE) of K2SrIn after structural relaxation.

Cell: 4.078 4.078 11.974 Å, 90.00 90.00 90.00°
Atoms (fractional coordinates):
K (0.000, 0.000, 0.198)
K (0.000, 0.000, 0.802)
Sr (0.500, 0.500, 0.500)
In (0.500, 0.500, 0.000)

Total moment (μB/cell): 0.0
Space-group type: P4/mmm (123)
Formation energy (kJ/mol of atoms): 10.7

[2]
The following is a DFT calculation (PBE) of Hf2AlHg after structural relaxation.

Cell: 9.998 9.998 9.998 Å, 17.98 17.98 17.98°
Atoms (fractional coordinates):
Hf (0.248, 0.248, 0.248)
Hf (0.752, 0.752, 0.752)
Al (0.500, 0.500, 0.500)
Hg (0.000, 0.000, 0.000)

Total moment (μB/cell): 0.0
Space-group type: R-3m (166)
Energy above the lowest structure with this stoichiometry (kJ/mol of atoms): 15.5
Formation energy (kJ/mol of atoms): -4.0

[3]
The following is a DFT calculation (PBE) of CsU3Tl4O12 after structural relaxation.

Cell: 7.865 7.865 7.865 Å, 109.47 109.47 109.47°
Atoms (fractional coordinates):
Cs (0.000, 0.000, 0.000)
U (0.000, 0.500, 0.500)
U (0.500, 0.000, 0.500)
U (0.500, 0.500, 0.000)
Tl (0.000, 0.000, 0.500)
Tl (0.000, 0.500, 0.000)
Tl (0.500, 0.000, 0.000)
Tl (0.500, 0.500, 0.500)
O (0.000, 0.294, 0.294)
O (0.000, 0.706, 0.706)
O (0.250, 0.500, 0.750)
O (0.250, 0.750, 0.500)
O (0.294, 0.000, 0.294)
O (0.294, 0.294, 0.000)
O (0.500, 0.250, 0.750)
O (0.500, 0.750, 0.250)
O (0.706, 0.000, 0.706)
O (0.706, 0.706, 0.000)
O (0.750, 0.250, 0.500)
O (0.750, 0.500, 0.250)

Total moment (μB/cell): 0.0
Space-group type: Im-3m (229)
Formation energy (no corrections) (meV per atom): -2161

[4]
The following is a DFT calculation (PBE) of CeTmSiAu after structural relaxation.

Cell: 5.084 5.084 5.084 Å, 60.00 60.00 60.00°
Atoms (fractional coordinates):
Ce (0.000, 0.000, 0.000)
Tm (0.500, 0.500, 0.500)
Si (0.750, 0.750, 0.750)
Au (0.250, 0.250, 0.250)

Total moment (μB/cell): 1.4
Space-group type: F-43m (216)
Formation energy (no corrections) (meV per atom): -577

Which value of total moment does entry 3 give?
0.0 μB/cell

Number 3 is which compound?
CsU3Tl4O12

What is the total moment in the second record?
0.0 μB/cell

Among the records above, which one has the highest total moment?
CeTmSiAu